[1]
The following is a DFT calculation (PBE) of an optimized crystal structure of TlCdSb2. Values from VASP.

Results
The relative energy among the computed polymorphs comes out at 0.000 eV/atom. As for the electronic total energy: -2.808 eV/atom. The density of states at the Fermi level is 0.24 states/eV per atom. The value obtained for the uncorrected formation energy is 7.1 kJ per mole of atoms.

```
&SYSTEM
  ibrav = 0, nat = 4, ntyp = 3
/
ATOMIC_SPECIES
Sb 121.76 Sb.upf
Tl 204.38 Tl.upf
Cd 112.41 Cd.upf
CELL_PARAMETERS angstrom
-2.746 5.114 1.455
-1.906 3.060 4.777
3.852 3.967 1.478
ATOMIC_POSITIONS crystal
Sb 0.020 0.020 0.926
Sb 0.480 0.480 0.574
Tl 0.250 0.250 0.250
Cd 0.750 0.750 0.750
```

=====

[2]
The following is a DFT calculation (PBE) of an optimized crystal structure of TlCdSb. Values from VASP.

Results
The relative energy among the computed polymorphs comes out at 0.163 eV/atom. As for the electronic total energy: -2.386 eV/atom. The density of states at the Fermi level is 0.38 states/eV per atom. The value obtained for the uncorrected formation energy is 7.9 kJ per mole of atoms.

```
&SYSTEM
  ibrav = 0, nat = 3, ntyp = 3
/
ATOMIC_SPECIES
Sb 121.76 Sb.upf
Tl 204.38 Tl.upf
Cd 112.41 Cd.upf
CELL_PARAMETERS angstrom
8.084 -0.043 0.037
7.306 3.189 0.100
0.778 -0.433 3.203
ATOMIC_POSITIONS crystal
Sb 0.343 0.343 0.657
Tl 0.661 0.661 0.339
Cd 0.996 0.996 0.004
```

=====

[3]
The following is a DFT calculation (PBE) of an optimized crystal structure of TlCdSb2. Values from VASP.

Results
The relative energy among the computed polymorphs comes out at 0.068 eV/atom. As for the electronic total energy: -2.740 eV/atom. The density of states at the Fermi level is 0.67 states/eV per atom. The value obtained for the uncorrected formation energy is 13.6 kJ per mole of atoms.

```
&SYSTEM
  ibrav = 0, nat = 4, ntyp = 3
/
ATOMIC_SPECIES
Sb 121.76 Sb.upf
Tl 204.38 Tl.upf
Cd 112.41 Cd.upf
CELL_PARAMETERS angstrom
-0.795 -0.342 -4.948
0.096 -4.181 0.274
-5.205 -0.064 0.841
ATOMIC_POSITIONS crystal
Sb 0.000 0.000 0.000
Sb 0.500 0.500 0.000
Tl 0.500 0.000 0.500
Cd 0.000 0.500 0.500
```

=====

[4]
The following is a DFT calculation (PBE) of an optimized crystal structure of TlCd2Sb. Values from VASP.

Results
The relative energy among the computed polymorphs comes out at 0.094 eV/atom. As for the electronic total energy: -2.007 eV/atom. The density of states at the Fermi level is 0.18 states/eV per atom. The value obtained for the uncorrected formation energy is 7.0 kJ per mole of atoms.

```
&SYSTEM
  ibrav = 0, nat = 4, ntyp = 3
/
ATOMIC_SPECIES
Sb 121.76 Sb.upf
Tl 204.38 Tl.upf
Cd 112.41 Cd.upf
CELL_PARAMETERS angstrom
5.366 0.000 0.000
2.683 4.647 0.000
2.683 1.549 4.381
ATOMIC_POSITIONS crystal
Sb 0.500 0.500 0.500
Tl 0.750 0.750 0.750
Cd 0.000 0.000 0.000
Cd 0.250 0.250 0.250
```

=====

[5]
The following is a DFT calculation (PBE) of an optimized crystal structure of TlCd2Sb. Values from VASP.

Results
The relative energy among the computed polymorphs comes out at 0.108 eV/atom. As for the electronic total energy: -1.993 eV/atom. The density of states at the Fermi level is 0.39 states/eV per atom. The value obtained for the uncorrected formation energy is 8.4 kJ per mole of atoms.

```
&SYSTEM
  ibrav = 0, nat = 4, ntyp = 3
/
ATOMIC_SPECIES
Sb 121.76 Sb.upf
Tl 204.38 Tl.upf
Cd 112.41 Cd.upf
CELL_PARAMETERS angstrom
-6.124 1.977 -1.223
0.288 -3.608 5.459
-0.745 1.935 2.333
ATOMIC_POSITIONS crystal
Sb 0.500 0.000 0.500
Tl 0.000 0.500 0.500
Cd 0.000 0.000 0.000
Cd 0.500 0.500 0.000
```

=====

[6]
The following is a DFT calculation (PBE) of an optimized crystal structure of TlCd2Sb. Values from VASP.

Results
The relative energy among the computed polymorphs comes out at 0.093 eV/atom. As for the electronic total energy: -2.008 eV/atom. The density of states at the Fermi level is 0.46 states/eV per atom. The value obtained for the uncorrected formation energy is 6.9 kJ per mole of atoms.

```
&SYSTEM
  ibrav = 0, nat = 4, ntyp = 3
/
ATOMIC_SPECIES
Sb 121.76 Sb.upf
Tl 204.38 Tl.upf
Cd 112.41 Cd.upf
CELL_PARAMETERS angstrom
-1.818 -5.223 -1.759
1.511 -5.352 -1.661
-0.271 -3.201 4.976
ATOMIC_POSITIONS crystal
Sb 0.489 0.489 0.531
Tl 0.257 0.257 0.228
Cd 0.013 0.013 0.002
Cd 0.741 0.741 0.739
```

=====

[7]
The following is a DFT calculation (PBE) of an optimized crystal structure of TlCd2Sb. Values from VASP.

Results
The relative energy among the computed polymorphs comes out at 0.000 eV/atom. As for the electronic total energy: -2.101 eV/atom. The density of states at the Fermi level is 0.18 states/eV per atom. The value obtained for the uncorrected formation energy is -2.1 kJ per mole of atoms.

```
&SYSTEM
  ibrav = 0, nat = 8, ntyp = 3
/
ATOMIC_SPECIES
Tl 204.38 Tl.upf
Cd 112.41 Cd.upf
Sb 121.76 Sb.upf
CELL_PARAMETERS angstrom
-2.969 1.922 -3.355
1.135 -6.318 -1.082
-5.996 -1.809 4.270
ATOMIC_POSITIONS crystal
Tl 0.931 0.862 0.250
Tl 0.069 0.138 0.750
Cd 0.381 0.763 0.957
Cd 0.619 0.237 0.043
Cd 0.619 0.237 0.457
Cd 0.381 0.763 0.543
Sb 0.213 0.425 0.250
Sb 0.787 0.575 0.750
```

=====

[8]
The following is a DFT calculation (PBE) of an optimized crystal structure of TlCd2Sb. Values from VASP.

Results
The relative energy among the computed polymorphs comes out at 0.095 eV/atom. As for the electronic total energy: -2.006 eV/atom. The density of states at the Fermi level is 0.45 states/eV per atom. The value obtained for the uncorrected formation energy is 7.1 kJ per mole of atoms.

```
&SYSTEM
  ibrav = 0, nat = 4, ntyp = 3
/
ATOMIC_SPECIES
Sb 121.76 Sb.upf
Tl 204.38 Tl.upf
Cd 112.41 Cd.upf
CELL_PARAMETERS angstrom
-1.676 2.379 -3.384
-2.552 -4.516 -1.911
-3.512 0.963 2.416
ATOMIC_POSITIONS crystal
Sb 0.500 0.000 0.500
Tl 0.000 0.500 0.500
Cd 0.000 0.000 0.000
Cd 0.500 0.500 0.000
```